The following is a PBE-GGA calculation of a relaxed structure of LaNbCr3, from the Alexandria database.

Values from the calculation:
crystal system	cubic
energy above the most stable polymorph in this dataset	0.0	meV/atom
ΔE_f	950	meV per atom
total magnetization	1.57	μB per atom
N(E_F)	3.94	states/eV/cell

Unit cell a=4.812 b=4.812 c=4.812 alpha=90.00 beta=90.00 gamma=90.00
Space group Pm-3m (No. 221)
Symmetry-distinct sites (fractional):
1 La 0.000 0.000 0.000 (multiplicity 1)
2 Nb 0.500 0.500 0.500 (multiplicity 1)
3 Cr 0.000 0.500 0.500 (multiplicity 3)